# HgMo2Au

An optimized crystal structure of HgMo2Au (PBE-GGA, the Open Quantum Materials Database).

Output
- Size of the total moment: 0.03 μB/cell
- Energy of formation from the pure elements: 651.7 meV per atom

abc: 4.628 4.628 4.628
angles: 60.00 60.00 60.00
Fractional positions:
1 Mo 0.750 0.750 0.750
2 Hg 0.500 0.500 0.500
3 Au 0.250 0.250 0.250
4 Mo 0.000 0.000 0.000